The following is a meta-GGA SCAN calculation of a PBEsol-optimized structure of RbNiS2, from the Alexandria database.

```
8
Lattice="-3.4718 3.4718 3.7917 3.4718 -3.4718 3.7917 3.4718 3.4718 -3.7917" Properties=species:S:1:pos:R:3 pbc="T T T"
Rb 0.0000 0.0000 0.0000
Rb 0.0000 3.4718 1.8958
Ni 3.4718 0.0000 1.8958
Ni 0.0000 0.0000 3.7917
S 1.7359 -0.8067 2.8437
S 2.6651 1.7359 0.9479
S 1.7359 4.2785 -0.9479
S 0.8067 1.7359 4.7396
```

Computed properties:
**Total energy**: -117.9 eV per cell
**Space group**: I-42d
**Theoretical density**: 3.78 Mg/m³
**ΔE_f (raw)**: -16.082 kcal/mol of atoms

The following is a meta-GGA SCAN calculation of a PBEsol-optimized structure of RbNiSb2, from the Alexandria database.

```
4
Lattice="0.0000 3.6098 3.6098 3.6098 0.0000 3.6098 3.6098 3.6098 0.0000" Properties=species:S:1:pos:R:3 pbc="T T T"
Rb 0.0000 0.0000 0.0000
Ni 3.6098 3.6098 3.6098
Sb 1.8049 1.8049 1.8049
Sb 5.4148 5.4148 5.4148
```

Computed properties:
**Total energy**: -109.3 eV per cell
**Space group**: Fm-3m
**Theoretical density**: 6.84 Mg/m³
**ΔE_f (raw)**: 12.488 kcal/mol of atoms

The following is a meta-GGA SCAN calculation of a PBEsol-optimized structure of RbNi3Sb, from the Alexandria database.

```
5
Lattice="4.7974 0.0000 0.0000 0.0000 4.7974 0.0000 0.0000 0.0000 4.7974" Properties=species:S:1:pos:R:3 pbc="T T T"
Rb 0.0000 0.0000 0.0000
Ni 0.0000 2.3987 2.3987
Ni 2.3987 0.0000 2.3987
Ni 2.3987 2.3987 0.0000
Sb 2.3987 2.3987 2.3987
```

Computed properties:
**Total energy**: -103.3 eV per cell
**Space group**: Pm-3m
**Theoretical density**: 5.76 Mg/m³
**ΔE_f (raw)**: 15.031 kcal/mol of atoms

The following is a meta-GGA SCAN calculation of a PBEsol-optimized structure of Rb2ScTaNi, from the Alexandria database.

```
5
Lattice="6.6162 0.0000 0.0000 0.0000 6.6162 0.0000 0.0000 0.0000 4.2414" Properties=species:S:1:pos:R:3 pbc="T T T"
Rb 0.0000 3.3081 0.0000
Rb 3.3081 0.0000 0.0000
Sc 0.0000 0.0000 0.0000
Ta 3.3081 3.3081 2.1207
Ni 0.0000 0.0000 2.1207
```

Computed properties:
**Total energy**: -129.0 eV per cell
**Space group**: P4/mmm
**Theoretical density**: 4.07 Mg/m³

The following is a meta-GGA SCAN calculation of a PBEsol-optimized structure of Rb2Ni3Se4, from the Alexandria database.

```
18
Lattice="0.0000 5.2330 13.6335 3.0003 0.0000 13.6335 3.0003 5.2330 0.0000" Properties=species:S:1:pos:R:3 pbc="T T T"
Rb 0.7501 1.3083 1.3425
Rb 0.7501 1.3083 5.4742
Rb 5.2506 9.1578 21.7927
Rb 5.2506 9.1578 25.9244
Ni 2.2503 3.9248 3.4204
Ni 2.2503 3.9248 10.2251
Ni 3.7504 6.5413 10.2372
Ni 2.2503 3.9248 17.0297
Ni 3.7504 6.5413 17.0418
Ni 3.7504 6.5413 23.8465
Se 2.2352 2.1838 8.7056
Se 2.2653 2.1838 11.7446
Se 3.7655 4.8003 15.5223
Se 2.2653 5.6657 8.7056
Se 3.7353 4.8003 18.5614
Se 2.2352 5.6657 11.7446
Se 3.7353 8.2822 15.5223
Se 3.7655 8.2822 18.5614
```

Computed properties:
**Total energy**: -354.0 eV per cell
**Space group**: Fddd
**Theoretical density**: 5.14 Mg/m³
**ΔE_f (raw)**: -17.144 kcal/mol of atoms

The following is a meta-GGA SCAN calculation of a PBEsol-optimized structure of RbNiSe2, from the Alexandria database.

```
4
Lattice="0.0000 3.4993 3.4993 3.4993 0.0000 3.4993 3.4993 3.4993 0.0000" Properties=species:S:1:pos:R:3 pbc="T T T"
Rb 0.0000 0.0000 0.0000
Ni 3.4993 3.4993 3.4993
Se 1.7497 1.7497 1.7497
Se 5.2490 5.2490 5.2490
```

Computed properties:
**Total energy**: -76.0 eV per cell
**Space group**: Fm-3m
**Theoretical density**: 5.85 Mg/m³
**ΔE_f (raw)**: 5.925 kcal/mol of atoms

What did the sixth record say?
The following is a meta-GGA SCAN calculation of a PBEsol-optimized structure of RbNiSe2, from the Alexandria database.

```
4
Lattice="0.0000 3.4993 3.4993 3.4993 0.0000 3.4993 3.4993 3.4993 0.0000" Properties=species:S:1:pos:R:3 pbc="T T T"
Rb 0.0000 0.0000 0.0000
Ni 3.4993 3.4993 3.4993
Se 1.7497 1.7497 1.7497
Se 5.2490 5.2490 5.2490
```

Computed properties:
**Total energy**: -76.0 eV per cell
**Space group**: Fm-3m
**Theoretical density**: 5.85 Mg/m³
**ΔE_f (raw)**: 5.925 kcal/mol of atoms

> Which value of total energy does entry 1 give?

-117.9 eV per cell

> Which formula does entry 6 have?

RbNiSe2

> Which of these has the highest theoretical density?

RbNiSb2